This record from Alexandria describes an optimized crystal structure of Pr7InNi2. The functional is PBE.

As for the final energy: -47.93 eV/f.u. The calculation puts the magnetization at 0.00 Bohr magnetons per cell. The volume is 33.6 Å³ per atom.

It has space group Cmmm (No. 65), with a = 9.321 Å, b = 14.140 Å, c = 5.105 Å, α = 90.00°, β = 90.00° and γ = 90.00°. The asymmetric unit holds Pr at (0.000, 0.000, 0.000), Pr at (0.000, 0.209, 0.500), Pr at (0.181, 0.372, 0.000), In at (0.000, 0.500, 0.500) and Ni at (0.000, 0.204, 0.000).


This record from Alexandria describes an optimized crystal structure of TlCuPt2. The functional is PBE.

As for the final energy: -18.42 eV/f.u. The calculation puts the magnetization at 0.00 Bohr magnetons per cell. The volume is 16.7 Å³ per atom.

It has space group F222 (No. 22), with a = 5.732 Å, b = 5.796 Å, c = 8.022 Å, α = 90.00°, β = 90.00° and γ = 90.00°. The asymmetric unit holds Tl at (0.000, 0.000, 0.000), Cu at (0.250, 0.250, 0.250), Pt at (0.000, 0.000, 0.500) and Pt at (0.250, 0.250, 0.750).


This record from Alexandria describes an optimized crystal structure of Ho2Ni3As4Rh. The functional is PBE.

As for the final energy: -60.40 eV/f.u. The calculation puts the magnetization at 0.00 Bohr magnetons per cell. The volume is 16.6 Å³ per atom.

It has space group P-4m2 (No. 115), with a = 4.171 Å, b = 4.171 Å, c = 9.538 Å, α = 90.00°, β = 90.00° and γ = 90.00°. The asymmetric unit holds Ho at (0.000, 0.500, 0.248), Ni at (0.000, 0.500, 0.881), Ni at (0.500, 0.500, 0.500), As at (0.000, 0.000, 0.000), As at (0.000, 0.500, 0.639), As at (0.500, 0.500, 0.000) and Rh at (0.000, 0.000, 0.500).


Among the records above, which one has the lowest final energy? Ho2Ni3As4Rh


What is the magnetization in the second record? 0.00 Bohr magnetons per cell


The lowest final energy belongs to which entry? Ho2Ni3As4Rh